# SrRuBr2, single point on PBEsol structure, DFT SCAN
# * ΔE_f (raw): -2.248 eV per formula unit
# * total magnetic moment: 0.400 μB per atom
# * energy above the most stable polymorph in this dataset: 0 meV per atom
data_SrRuBr2
_chemical_formula_sum 'Sr2 Ru2 Br4'
_space_group_name_H-M_alt 'A m m 2'
_space_group_IT_number 38
_space_group_name_Hall 'A 2 -2'
_cell_length_a 4.5519
_cell_length_b 3.8978
_cell_length_c 11.0784
_cell_angle_alpha 90.00
_cell_angle_beta 90.00
_cell_angle_gamma 90.00
loop_
_atom_site_label
_atom_site_type_symbol
_atom_site_fract_x
_atom_site_fract_y
_atom_site_fract_z
Sr1 Sr 0.0000 0.0000 0.0000
Ru1 Ru 0.5000 0.0000 0.6398
Br1 Br 0.0000 0.0000 0.7100
Br2 Br 0.5000 0.0000 0.4084